DFT (GGA+U) results for AcHfV2O8 after structural relaxation.

Raw total energy ... -8.31 eV per atom
Total magnetic moment ... 1.00 μB per formula unit

a b c (Å): 6.0981 6.0981 6.0981
angles (deg): 105.95 105.95 116.78
Positions (direct):
O1 0.7025 0.0363 0.6662
O2 0.4666 0.6596 0.8069
O3 0.3404 0.5334 0.1931
O4 0.8527 0.6596 0.1931
O5 0.9637 0.6300 0.6662
O6 0.9637 0.2975 0.3338
O7 0.3404 0.1473 0.8069
O8 0.3700 0.0363 0.3338
Hf1 0.2500 0.7500 0.5000
V1 0.7500 0.2500 0.5000
V2 0.5000 0.5000 0.0000
Ac1 0.0000 0.0000 0.0000